Compound: PaTl3Fe2O6
Source: Alexandria via LeMat-Bulk
Functional: PBE+U
Structure: relaxed

Summary:
- M_tot (μB per cell) = 7.96
- total energy (eV/atom) = -6.478

Cell: 6.2800 6.2800 7.2859 Å, 90.00 90.00 120.00°
Space group P-3m1 (No. 164)
Asymmetric unit:
Pa  0.0000  0.0000  0.0000
Tl  0.0000  0.0000  0.5000
Tl  0.3333  0.6667  0.2372
Fe  0.3333  0.6667  0.8135
O  0.1597  0.3194  0.8166